This record from Alexandria describes a relaxed structure of Nd2CuI. The functional is PBE.

Structure (POSCAR):
```
Nd2CuI
1.0
-2.9215 1.9250 2.2831
-3.9226 -1.4375 0.0148
-0.5297 -4.5531 6.9835
Nd Cu I
2 1 1
Direct
0.0671 0.0671 0.7988
0.2665 0.2665 0.2006
0.6670 0.6670 0.9989
0.4994 0.4994 0.5017
```

Computed properties:
Calculated total energy, eV per cell: -17.179
Distance to the lowest polymorph of the same formula, kJ/mol of formula units: 0.6
Raw formation energy, kJ/mol of atoms: -48
Space group: R3m, No. 160